DFT (GGA-PBE) results for a relaxed structure of CuGe.

Results
V = 502.02 Å³/cell
DFT formation energy = 196 meV per atom
total moment = 0.0 μB per formula unit
total DFT energy (no corrections) = -4.161 eV/atom
space group = Fddd
DOS(E_F) = 12.39 states/eV per cell

Cell: 6.5798 7.5515 10.1037 Å, 90.00 90.00 90.00°
With the nearest neighbours (Å) after each atom.
Atoms (fractional coordinates):
Ge (0.0000, 0.3027, 0.0000)  6 Cu 2.54-2.60
Cu (0.9381, 0.7500, 0.7500)  1 Cu 2.48, 6 Ge 2.54-2.60
Cu (0.8119, 0.0000, 0.0000)  1 Cu 2.48, 6 Ge 2.54-2.60
Ge (0.2500, 0.0527, 0.2500)  6 Cu 2.54-2.60
Cu (0.3119, 0.0000, 0.5000)  1 Cu 2.48, 6 Ge 2.54-2.60
Cu (0.9381, 0.2500, 0.2500)  1 Cu 2.48, 6 Ge 2.54-2.60
Cu (0.6881, 0.5000, 0.0000)  1 Cu 2.48, 6 Ge 2.54-2.60
Cu (0.4381, 0.7500, 0.2500)  1 Cu 2.48, 6 Ge 2.54-2.60
Ge (0.5000, 0.6973, 0.5000)  6 Cu 2.54-2.60
Ge (0.2500, 0.4473, 0.2500)  6 Cu 2.54-2.60
Cu (0.4381, 0.2500, 0.7500)  1 Cu 2.48, 6 Ge 2.54-2.60
Ge (0.2500, 0.9473, 0.7500)  6 Cu 2.54-2.60
Cu (0.8119, 0.5000, 0.5000)  1 Cu 2.48, 6 Ge 2.54-2.60
Ge (0.7500, 0.0527, 0.7500)  6 Cu 2.54-2.60
Cu (0.0619, 0.2500, 0.7500)  1 Cu 2.48, 6 Ge 2.54-2.60
Cu (0.1881, 0.0000, 0.0000)  1 Cu 2.48, 6 Ge 2.54-2.60
Ge (0.7500, 0.4473, 0.7500)  6 Cu 2.54-2.60
Ge (0.0000, 0.6973, 0.0000)  6 Cu 2.54-2.60
Ge (0.0000, 0.8027, 0.5000)  6 Cu 2.54-2.60
Ge (0.7500, 0.9473, 0.2500)  6 Cu 2.54-2.60
Cu (0.0619, 0.7500, 0.2500)  1 Cu 2.48, 6 Ge 2.54-2.60
Ge (0.5000, 0.1973, 0.0000)  6 Cu 2.54-2.60
Cu (0.6881, 0.0000, 0.5000)  1 Cu 2.48, 6 Ge 2.54-2.60
Cu (0.1881, 0.5000, 0.5000)  1 Cu 2.48, 6 Ge 2.54-2.60
Ge (0.5000, 0.3027, 0.5000)  6 Cu 2.54-2.60
Cu (0.3119, 0.5000, 0.0000)  1 Cu 2.48, 6 Ge 2.54-2.60
Cu (0.5619, 0.7500, 0.7500)  1 Cu 2.48, 6 Ge 2.54-2.60
Ge (0.7500, 0.5527, 0.2500)  6 Cu 2.54-2.60
Ge (0.5000, 0.8027, 0.0000)  6 Cu 2.54-2.60
Ge (0.2500, 0.5527, 0.7500)  6 Cu 2.54-2.60
Cu (0.5619, 0.2500, 0.2500)  1 Cu 2.48, 6 Ge 2.54-2.60
Ge (0.0000, 0.1973, 0.5000)  6 Cu 2.54-2.60